No. 1
PBE-GGA DyIn2F8, optimized geometry; symmetry = No. 12; mass density = 5385 kg/m³; total magnetic moment = 0.000 Bohr magnetons per cell; total DFT energy (no corrections) = -57.074 eV per cell
1.0
5.009 -3.793 0.000
5.009 3.793 0.000
-0.915 0.000 4.415
Dy In F
1 2 8
Cartesian
0.000 0.000 0.000 Dy
2.943 0.000 3.107 In
6.161 0.000 1.309 In
3.009 2.139 3.426 F
0.808 0.000 3.070 F
6.095 2.139 0.989 F
3.834 0.000 1.030 F
5.269 0.000 3.385 F
3.009 -2.139 3.426 F
8.296 0.000 1.345 F
6.095 -2.139 0.989 F

No. 2
PBE-GGA LiYSnSe2, optimized geometry; symmetry = No. 123; mass density = 5385 kg/m³; total magnetic moment = 0.000 Bohr magnetons per cell; total DFT energy (no corrections) = -20.743 eV per cell
1.0
4.733 0.000 0.000
0.000 4.733 0.000
0.000 0.000 5.129
Li Y Sn Se
1 1 1 2
Cartesian
0.000 0.000 0.000 Li
0.000 0.000 2.564 Y
2.366 2.366 2.564 Sn
0.000 2.366 0.000 Se
2.366 0.000 0.000 Se

No. 3
PBE-GGA Hf2MgAlAu, optimized geometry; symmetry = No. 123; DFT formation energy = 2.5 eV/f.u.; mass density = 7831 kg/m³; total magnetic moment = 0.000 Bohr magnetons per cell; total DFT energy (no corrections) = -26.035 eV per cell
1.0
5.135 0.000 0.000
0.000 5.135 0.000
0.000 0.000 4.868
Hf Mg Al Au
2 1 1 1
Cartesian
0.000 2.567 0.000 Hf
2.567 0.000 0.000 Hf
0.000 0.000 2.434 Mg
2.567 2.567 2.434 Al
0.000 0.000 0.000 Au

No. 4
PBE-GGA PaZnCdGa, optimized geometry; symmetry = No. 216; DFT formation energy = -0.2 eV/f.u.; mass density = 9703 kg/m³; total magnetic moment = 0.000 Bohr magnetons per cell; total DFT energy (no corrections) = -59.688 eV per cell
1.0
6.894 0.000 0.000
0.000 6.894 0.000
0.000 0.000 6.894
Pa Zn Cd Ga
4 4 4 4
Cartesian
0.000 0.000 0.000 Pa
0.000 3.447 3.447 Pa
3.447 0.000 3.447 Pa
3.447 3.447 0.000 Pa
1.723 1.723 1.723 Zn
1.723 5.170 5.170 Zn
5.170 1.723 5.170 Zn
5.170 5.170 1.723 Zn
0.000 0.000 3.447 Cd
0.000 3.447 0.000 Cd
3.447 0.000 0.000 Cd
3.447 3.447 3.447 Cd
1.723 1.723 5.170 Ga
1.723 5.170 1.723 Ga
5.170 1.723 1.723 Ga
5.170 5.170 5.170 Ga

No. 5
PBE-GGA CsSn6Au12, optimized geometry; symmetry = No. 148; DFT formation energy = -2.0 eV/f.u.; mass density = 10792 kg/m³; total magnetic moment = 0.000 Bohr magnetons per cell; total DFT energy (no corrections) = -66.183 eV per cell
1.0
6.036 3.485 3.912
-6.036 3.485 3.912
0.000 -6.970 3.912
Cs Sn Au
1 6 12
Cartesian
0.000 0.000 0.000 Cs
-3.309 0.059 3.608 Sn
1.603 -2.895 3.608 Sn
-1.705 -2.836 8.128 Sn
1.705 2.836 3.608 Sn
-1.603 2.895 8.128 Sn
3.309 -0.059 8.128 Sn
-0.864 -1.390 3.556 Au
-3.103 -1.424 6.131 Au
-0.319 -3.400 5.605 Au
-0.771 1.443 3.556 Au
-2.785 1.976 5.605 Au
1.636 -0.054 3.556 Au
-1.636 0.054 8.180 Au
2.785 -1.976 6.131 Au
0.771 -1.443 8.180 Au
0.319 3.400 6.131 Au
3.103 1.424 5.605 Au
0.864 1.390 8.180 Au

No. 6
PBE-GGA Pa3Co3Ni2, optimized geometry; symmetry = No. 193; DFT formation energy = -2.1 eV/f.u.; mass density = 12384 kg/m³; total magnetic moment = 0.000 Bohr magnetons per cell; total DFT energy (no corrections) = -127.024 eV per cell
1.0
7.633 0.000 0.000
-3.817 6.611 0.000
0.000 0.000 5.247
Pa Co Ni
6 6 4
Cartesian
-1.092 1.891 1.312 Pa
-2.725 4.719 3.935 Pa
2.184 0.000 1.312 Pa
1.092 1.891 3.935 Pa
5.449 0.000 3.935 Pa
2.725 4.719 1.312 Pa
-1.437 2.489 3.935 Co
-2.380 4.122 1.312 Co
2.874 0.000 3.935 Co
1.437 2.489 1.312 Co
4.760 0.000 1.312 Co
2.380 4.122 3.935 Co
0.000 4.407 0.000 Ni
0.000 4.407 2.623 Ni
3.817 2.204 0.000 Ni
3.817 2.204 2.623 Ni

No. 7
PBE-GGA Li2AlSiBr, optimized geometry; symmetry = No. 123; mass density = 2172 kg/m³; total magnetic moment = 0.000 Bohr magnetons per cell; total DFT energy (no corrections) = -13.753 eV per cell
1.0
4.551 0.000 0.000
0.000 4.551 0.000
0.000 0.000 5.493
Li Al Si Br
2 1 1 1
Cartesian
0.000 2.276 0.000 Li
2.276 0.000 0.000 Li
0.000 0.000 2.747 Al
2.276 2.276 2.747 Si
2.276 2.276 0.000 Br

No. 8
PBE-GGA TiHgBr3, optimized geometry; symmetry = No. 2; mass density = 4480 kg/m³; total magnetic moment = 1.999 Bohr magnetons per cell; total DFT energy (no corrections) = -35.785 eV per cell; energy relative to the lowest polymorph listed for this composition = 0 meV per atom
1.0
6.380 0.000 0.000
3.185 5.586 0.000
3.069 1.749 10.154
Ti Hg Br
2 2 6
Cartesian
1.594 0.824 0.000 Ti
11.040 6.511 10.153 Ti
4.693 2.750 5.036 Hg
7.941 4.585 5.118 Hg
2.578 2.793 1.424 Br
6.751 6.489 8.592 Br
5.877 4.737 1.558 Br
6.757 2.598 8.595 Br
5.883 0.846 1.562 Br
10.056 4.542 8.730 Br

No. 9
PBE-GGA SrSc2AlAu4, optimized geometry; symmetry = No. 166; DFT formation energy = -5.5 eV/f.u.; mass density = 9390 kg/m³; total magnetic moment = 0.000 Bohr magnetons per cell; total DFT energy (no corrections) = -36.733 eV per cell
1.0
2.339 1.350 9.264
-2.339 1.350 9.264
0.000 -2.700 9.264
Sr Sc Al Au
1 2 1 4
Cartesian
0.000 0.000 0.000 Sr
0.000 0.000 6.518 Sc
0.000 0.000 21.273 Sc
0.000 0.000 13.895 Al
0.000 0.000 3.614 Au
0.000 0.000 11.215 Au
0.000 0.000 16.576 Au
0.000 0.000 24.176 Au

No. 10
PBE-GGA Sm8Si3Te4P, optimized geometry; symmetry = No. 12; mass density = 6606 kg/m³; total magnetic moment = 0.000 Bohr magnetons per cell; total DFT energy (no corrections) = -91.904 eV per cell
1.0
7.420 -4.283 0.000
7.420 4.283 0.000
-4.947 0.000 7.231
Sm Si Te P
8 3 4 1
Cartesian
3.714 2.148 5.195 Sm
0.002 0.000 5.202 Sm
2.471 0.000 2.004 Sm
6.179 2.148 2.036 Sm
3.714 -2.148 5.195 Sm
7.421 0.000 5.227 Sm
9.890 0.000 2.029 Sm
6.179 -2.148 2.036 Sm
1.236 2.142 3.616 Si
1.236 -2.142 3.616 Si
4.946 0.000 3.616 Si
0.000 0.000 0.000 Te
3.710 2.142 0.000 Te
3.710 -2.142 0.000 Te
7.420 0.000 0.000 Te
-2.473 0.000 3.616 P

No. 11
PBE-GGA TmSc12In3, optimized geometry; symmetry = No. 123; DFT formation energy = -3.1 eV/f.u.; mass density = 4590 kg/m³; total magnetic moment = 3.748 Bohr magnetons per cell; total DFT energy (no corrections) = -91.743 eV per cell
1.0
4.541 0.000 0.000
0.000 4.541 0.000
0.000 0.000 18.472
Tm Sc In
1 12 3
Cartesian
0.000 0.000 0.000 Tm
0.000 2.270 2.436 Sc
0.000 2.270 6.976 Sc
0.000 2.270 11.496 Sc
0.000 2.270 16.036 Sc
2.270 0.000 2.436 Sc
2.270 0.000 6.976 Sc
2.270 0.000 11.496 Sc
2.270 0.000 16.036 Sc
2.270 2.270 0.000 Sc
2.270 2.270 4.742 Sc
2.270 2.270 9.236 Sc
2.270 2.270 13.730 Sc
0.000 0.000 4.723 In
0.000 0.000 9.236 In
0.000 0.000 13.749 In

No. 12
PBE-GGA LiZrN3, optimized geometry; symmetry = No. 221; mass density = 3022 kg/m³; total magnetic moment = 3.683 Bohr magnetons per cell; total DFT energy (no corrections) = -32.678 eV per cell
1.0
4.255 0.000 0.000
0.000 4.255 0.000
0.000 0.000 4.255
Li Zr N
1 1 3
Cartesian
0.000 0.000 0.000 Li
2.127 2.127 2.127 Zr
0.000 2.127 2.127 N
2.127 0.000 2.127 N
2.127 2.127 0.000 N

No. 13
PBE-GGA Si2BiCl2, optimized geometry; symmetry = No. 139; mass density = 5059 kg/m³; total magnetic moment = 0.000 Bohr magnetons per cell; total DFT energy (no corrections) = -33.708 eV per cell; energy relative to the lowest polymorph listed for this composition = 203 meV per atom
1.0
4.355 0.000 0.000
0.000 4.355 0.000
0.000 0.000 11.633
Si Bi Cl
4 2 4
Cartesian
0.000 0.000 1.230 Si
0.000 0.000 10.403 Si
2.177 2.177 4.587 Si
2.177 2.177 7.046 Si
0.000 0.000 5.817 Bi
2.177 2.177 0.000 Bi
0.000 2.177 2.908 Cl
0.000 2.177 8.725 Cl
2.177 0.000 2.908 Cl
2.177 0.000 8.725 Cl

No. 14
PBE-GGA NdGa2Pt5Rh, optimized geometry; symmetry = No. 123; DFT formation energy = -2.3 eV/f.u.; mass density = 13721 kg/m³; total magnetic moment = 0.560 Bohr magnetons per cell; total DFT energy (no corrections) = -50.705 eV per cell
1.0
4.786 0.000 0.000
0.000 4.786 0.000
0.000 0.000 7.197
Nd Ga Pt Rh
1 2 5 1
Cartesian
0.000 0.000 0.000 Nd
2.393 2.393 2.421 Ga
2.393 2.393 4.776 Ga
0.000 2.393 2.087 Pt
0.000 2.393 5.110 Pt
2.393 0.000 2.087 Pt
2.393 0.000 5.110 Pt
2.393 2.393 0.000 Pt
0.000 0.000 3.598 Rh

No. 15
PBE-GGA DyTlGa2I6, optimized geometry; symmetry = No. 146; mass density = 4782 kg/m³; total magnetic moment = 0.000 Bohr magnetons per cell; total DFT energy (no corrections) = -30.514 eV per cell
1.0
4.118 2.378 7.492
-4.118 2.378 7.492
0.000 -4.755 7.492
Dy Tl Ga I
1 1 2 6
Cartesian
0.000 0.000 0.000 Dy
0.000 0.000 11.435 Tl
0.000 0.000 7.248 Ga
0.000 0.000 18.313 Ga
-1.194 -2.496 9.111 I
-3.067 -0.221 13.060 I
-1.564 2.282 9.111 I
1.725 -2.546 13.060 I
2.758 0.214 9.111 I
1.342 2.767 13.060 I

No. 16
PBE-GGA Er3Mg4In4, optimized geometry; symmetry = No. 71; DFT formation energy = -3.1 eV/f.u.; mass density = 6425 kg/m³; total magnetic moment = 0.000 Bohr magnetons per cell; total DFT energy (no corrections) = -34.108 eV per cell
1.0
-2.343 3.786 7.709
2.343 -3.786 7.709
2.343 3.786 -7.709
Er Mg In
3 4 4
Cartesian
0.000 0.000 0.000 Er
2.343 0.000 5.893 Er
0.000 3.786 1.816 Er
2.343 1.485 -2.667 Mg
2.343 1.485 2.667 Mg
0.000 2.301 5.042 Mg
0.000 2.301 10.376 Mg
0.000 0.000 3.337 In
2.343 2.311 0.000 In
0.000 1.475 7.709 In
0.000 0.000 12.080 In

No. 17
PBE-GGA Ba4AsBr5, optimized geometry; symmetry = No. 12; mass density = 4261 kg/m³; total magnetic moment = 0.000 Bohr magnetons per cell; total DFT energy (no corrections) = -39.982 eV per cell; energy relative to the lowest polymorph listed for this composition = 23 meV per atom
1.0
9.854 -2.478 0.000
9.854 2.478 0.000
-2.129 0.000 8.170
Ba As Br
4 1 5
Cartesian
0.516 0.000 2.522 Ba
6.492 0.000 1.691 Ba
11.087 0.000 6.480 Ba
17.063 0.000 5.649 Ba
8.789 0.000 4.085 As
3.207 0.000 0.495 Br
2.586 0.000 4.925 Br
9.854 0.000 0.000 Br
14.993 0.000 3.245 Br
14.372 0.000 7.675 Br

No. 18
PBE-GGA TaZn2Ge, optimized geometry; symmetry = No. 122; DFT formation energy = 1.1 eV/f.u.; mass density = 9378 kg/m³; total magnetic moment = 0.000 Bohr magnetons per cell; total DFT energy (no corrections) = -71.659 eV per cell
1.0
7.240 0.000 0.000
0.000 7.240 0.000
0.000 0.000 5.193
Ta Zn Ge
4 8 4
Cartesian
0.000 0.000 0.000 Ta
0.000 3.620 1.298 Ta
3.620 0.000 3.895 Ta
3.620 3.620 2.597 Ta
1.659 5.430 3.246 Zn
1.810 1.659 1.947 Zn
1.810 1.961 4.544 Zn
1.961 5.430 0.649 Zn
5.279 1.810 0.649 Zn
5.430 5.279 4.544 Zn
5.430 5.582 1.947 Zn
5.582 1.810 3.246 Zn
0.000 0.000 2.597 Ge
0.000 3.620 3.895 Ge
3.620 0.000 1.298 Ge
3.620 3.620 0.000 Ge

No. 19
PBE-GGA ReTeMo2, optimized geometry; symmetry = No. 99; mass density = 12335 kg/m³; total magnetic moment = 0.000 Bohr magnetons per cell; total DFT energy (no corrections) = -35.749 eV per cell
1.0
3.199 0.000 0.000
0.000 3.199 0.000
0.000 0.000 6.654
Re Te Mo
1 1 2
Cartesian
0.000 0.000 0.000 Re
1.599 1.599 1.856 Te
0.000 0.000 3.543 Mo
1.599 1.599 5.161 Mo

No. 20
PBE-GGA Na4ThTe4, optimized geometry; symmetry = No. 121; mass density = 3483 kg/m³; total magnetic moment = 0.000 Bohr magnetons per cell; total DFT energy (no corrections) = -33.362 eV per cell
1.0
-3.816 3.816 6.829
3.816 -3.816 6.829
3.816 3.816 -6.829
Na Th Te
4 1 4
Cartesian
3.816 0.000 0.000 Na
0.000 0.000 2.917 Na
0.000 3.816 0.000 Na
0.000 0.000 10.741 Na
0.000 0.000 6.829 Th
1.728 -1.728 5.122 Te
2.087 2.087 1.708 Te
-1.728 1.728 5.122 Te
1.728 1.728 8.537 Te

No. 21
PBE-GGA LiNi2Cl, optimized geometry; symmetry = No. 122; mass density = 4317 kg/m³; total magnetic moment = 0.002 Bohr magnetons per cell; total DFT energy (no corrections) = -61.210 eV per cell; energy relative to the lowest polymorph listed for this composition = 210 meV per atom
1.0
3.312 0.000 0.000
0.000 3.312 0.000
0.000 0.000 22.409
Li Ni Cl
4 8 4
Cartesian
0.000 0.000 0.000 Li
0.000 1.656 5.602 Li
1.656 0.000 16.806 Li
1.656 1.656 11.204 Li
0.822 2.484 2.801 Ni
0.828 0.822 19.608 Ni
0.828 0.834 8.403 Ni
0.834 2.484 14.005 Ni
2.479 0.828 14.005 Ni
2.484 2.479 8.403 Ni
2.484 2.490 19.608 Ni
2.490 0.828 2.801 Ni
0.000 0.000 11.204 Cl
0.000 1.656 16.806 Cl
1.656 0.000 5.602 Cl
1.656 1.656 0.000 Cl

No. 22
PBE-GGA Li4NpSc3Se8, optimized geometry; symmetry = No. 166; mass density = 4976 kg/m³; total magnetic moment = 4.009 Bohr magnetons per cell; total DFT energy (no corrections) = -91.145 eV per cell
1.0
3.927 2.268 6.441
-3.927 2.268 6.441
0.000 -4.535 6.441
Li Np Sc Se
4 1 3 8
Cartesian
0.000 0.000 0.000 Li
-1.964 -1.134 6.441 Li
-1.964 1.134 12.883 Li
0.000 2.268 6.441 Li
0.000 0.000 9.662 Np
-3.927 0.000 9.662 Sc
-1.964 1.134 3.221 Sc
1.964 1.134 3.221 Sc
-2.036 -1.176 11.259 Se
0.000 -2.351 8.065 Se
-2.036 1.176 8.065 Se
0.000 0.000 4.774 Se
0.000 0.000 14.550 Se
2.036 -1.176 11.259 Se
0.000 2.351 11.259 Se
2.036 1.176 8.065 Se

No. 23
PBE-GGA Ho8Tl2In, optimized geometry; symmetry = No. 12; DFT formation energy = -2.3 eV/f.u.; mass density = 9655 kg/m³; total magnetic moment = 0.000 Bohr magnetons per cell; total DFT energy (no corrections) = -46.428 eV per cell; energy relative to the lowest polymorph listed for this composition = 0 meV per atom
1.0
8.144 -2.654 0.000
8.144 2.654 0.000
-4.350 0.000 7.333
Ho Tl In
8 2 1
Cartesian
0.086 0.000 1.606 Ho
-0.731 0.000 5.001 Ho
2.793 0.000 4.071 Ho
6.448 0.000 0.362 Ho
5.491 0.000 6.971 Ho
9.146 0.000 3.262 Ho
12.670 0.000 2.332 Ho
11.853 0.000 5.726 Ho
3.106 0.000 0.887 Tl
8.833 0.000 6.446 Tl
5.969 0.000 3.666 In